RbMnPtRh2 after structural relaxation, computed with PBE.

Geometry as CIF:
```
data_RbMnPtRh2
_cell_length_a 5.029
_cell_length_b 5.029
_cell_length_c 4.607
_cell_angle_alpha 90.00
_cell_angle_beta 90.00
_cell_angle_gamma 90.00
_space_group_name_H-M_alt 'P 4/m m m'
_space_group_IT_number 123
_space_group_name_Hall '-P 4 2'
loop_
_atom_site_label
_atom_site_type_symbol
_atom_site_fract_x
_atom_site_fract_y
_atom_site_fract_z
Rb1 Rb 0.000 0.000 0.000
Mn1 Mn 0.500 0.500 0.000
Pt1 Pt 0.500 0.500 0.500
Rh1 Rh 0.000 0.500 0.500
```

Computed properties:
- uncorrected energy (eV/cell) = -24.6